1.
# PmNdBi2O6 | Alexandria | PBE | optimized geometry
data_PmNdBi2O6
_cell_length_a 6.175
_cell_length_b 6.175
_cell_length_c 6.259
_cell_angle_alpha 89.98
_cell_angle_beta 119.56
_cell_angle_gamma 120.02
_space_group_name_H-M_alt 'P 1'
_space_group_IT_number 1
_space_group_name_Hall 'P 1'
loop_
_atom_site_label
_atom_site_fract_x
_atom_site_fract_y
_atom_site_fract_z
_atom_site_occupancy
Pm1 0.020 0.510 0.516 1
Nd1 0.022 0.011 0.019 1
Bi1 0.589 0.794 0.370 1
Bi2 0.589 0.294 0.869 1
O1 0.505 0.878 0.671 1
O2 0.510 0.126 0.172 1
O3 0.804 0.676 0.172 1
O4 0.060 0.382 0.172 1
O5 0.807 0.626 0.671 1
O6 0.059 0.180 0.671 1
# Space group: R3, No. 146
# Magnetization (Bohr magnetons per cell): 0.00
# E (eV for the cell shown): -69.79
# Formation energy without anion corrections (eV per atom): -2.28

***

2.
# NiRuC | Alexandria | PBE | optimized geometry
data_NiRuC
_cell_length_a 4.422
_cell_length_b 2.828
_cell_length_c 6.693
_cell_angle_alpha 90.00
_cell_angle_beta 129.27
_cell_angle_gamma 90.00
_space_group_name_H-M_alt 'P 1'
_space_group_IT_number 1
_space_group_name_Hall 'P 1'
loop_
_atom_site_label
_atom_site_fract_x
_atom_site_fract_y
_atom_site_fract_z
_atom_site_occupancy
Ru1 0.810 0.000 0.757 1
Ru2 0.810 0.500 0.257 1
C1 0.209 0.000 0.506 1
C2 0.209 0.500 0.006 1
Ni1 0.304 0.000 0.251 1
Ni2 0.304 0.500 0.751 1
# Space group: Cm, No. 8
# Magnetization (Bohr magnetons per cell): 0.00
# E (eV for the cell shown): -46.48
# Offset from the most stable computed form (meV per atom): 18
# Formation energy from the elements (eV per atom): 0.35

***

3.
# PaGa6Cu4 | Alexandria | PBE | optimized geometry
data_PaGa6Cu4
_cell_length_a 4.002
_cell_length_b 7.104
_cell_length_c 7.104
_cell_angle_alpha 120.00
_cell_angle_beta 90.00
_cell_angle_gamma 90.00
_space_group_name_H-M_alt 'P 1'
_space_group_IT_number 1
_space_group_name_Hall 'P 1'
loop_
_atom_site_label
_atom_site_fract_x
_atom_site_fract_y
_atom_site_fract_z
_atom_site_occupancy
Pa1 0.000 0.000 0.000 1
Ga1 0.000 0.535 0.069 1
Ga2 0.500 0.608 0.804 1
Ga3 0.000 0.535 0.465 1
Ga4 0.000 0.931 0.465 1
Ga5 0.500 0.196 0.804 1
Ga6 0.500 0.196 0.392 1
Cu1 0.500 0.793 0.586 1
Cu2 0.500 0.414 0.207 1
Cu3 0.500 0.793 0.207 1
Cu4 0.000 0.333 0.667 1
# Space group: P-6m2, No. 187
# Magnetization (Bohr magnetons per cell): 0.08
# E (eV for the cell shown): -45.78
# Formation energy from the elements (eV per atom): -0.16

***

4.
# CaMg2Br | Alexandria | PBE | optimized geometry
data_CaMg2Br
_cell_length_a 3.621
_cell_length_b 3.615
_cell_length_c 9.129
_cell_angle_alpha 78.58
_cell_angle_beta 90.00
_cell_angle_gamma 90.00
_space_group_name_H-M_alt 'P 1'
_space_group_IT_number 1
_space_group_name_Hall 'P 1'
loop_
_atom_site_label
_atom_site_fract_x
_atom_site_fract_y
_atom_site_fract_z
_atom_site_occupancy
Br1 0.000 0.285 0.554 1
Ca1 0.500 0.694 0.737 1
Mg1 0.000 0.060 0.007 1
Mg2 0.500 0.462 0.202 1
# Space group: Amm2, No. 38
# Magnetization (Bohr magnetons per cell): 0.00
# E (eV for the cell shown): -9.08
# Formation energy without anion corrections (eV per atom): -0.55
# Offset from the most stable computed form (meV per atom): 0

***

5.
# Pr2YCl8 | Alexandria | PBE | optimized geometry
data_Pr2YCl8
_cell_length_a 5.793
_cell_length_b 7.504
_cell_length_c 7.504
_cell_angle_alpha 112.19
_cell_angle_beta 99.19
_cell_angle_gamma 99.19
_space_group_name_H-M_alt 'P 1'
_space_group_IT_number 1
_space_group_name_Hall 'P 1'
loop_
_atom_site_label
_atom_site_fract_x
_atom_site_fract_y
_atom_site_fract_z
_atom_site_occupancy
Pr1 0.000 0.311 0.689 1
Pr2 0.000 0.689 0.311 1
Y1 0.500 0.000 0.000 1
Cl1 0.888 0.924 0.663 1
Cl2 0.888 0.663 0.924 1
Cl3 0.312 0.650 0.650 1
Cl4 0.500 0.783 0.217 1
Cl5 0.500 0.217 0.783 1
Cl6 0.688 0.350 0.350 1
Cl7 0.112 0.337 0.076 1
Cl8 0.112 0.076 0.337 1
# Space group: C2/m, No. 12
# Magnetization (Bohr magnetons per cell): 1.03
# E (eV for the cell shown): -53.09
# Formation energy without anion corrections (eV per atom): -2.03

***

6.
# As3Rh | Alexandria | PBE | optimized geometry
data_As3Rh
_cell_length_a 4.628
_cell_length_b 4.628
_cell_length_c 3.303
_cell_angle_alpha 90.00
_cell_angle_beta 90.00
_cell_angle_gamma 104.15
_space_group_name_H-M_alt 'P 1'
_space_group_IT_number 1
_space_group_name_Hall 'P 1'
loop_
_atom_site_label
_atom_site_fract_x
_atom_site_fract_y
_atom_site_fract_z
_atom_site_occupancy
As1 0.000 0.500 0.500 1
As2 0.500 0.000 0.500 1
As3 0.500 0.500 0.000 1
Rh1 0.000 0.000 0.000 1
# Space group: Cmmm, No. 65
# Magnetization (Bohr magnetons per cell): 0.00
# E (eV for the cell shown): -20.53
# Offset from the most stable computed form (meV per atom): 634
# Formation energy from the elements (eV per atom): 0.19

***

7.
# ReAs3S | Alexandria | PBE | optimized geometry
data_ReAs3S
_cell_length_a 4.650
_cell_length_b 4.650
_cell_length_c 4.650
_cell_angle_alpha 90.00
_cell_angle_beta 90.00
_cell_angle_gamma 90.00
_space_group_name_H-M_alt 'P 1'
_space_group_IT_number 1
_space_group_name_Hall 'P 1'
loop_
_atom_site_label
_atom_site_fract_x
_atom_site_fract_y
_atom_site_fract_z
_atom_site_occupancy
Re1 0.500 0.500 0.500 1
As1 0.000 0.500 0.000 1
As2 0.000 0.000 0.500 1
As3 0.500 0.000 0.000 1
S1 0.000 0.000 0.000 1
# Space group: Pm-3m, No. 221
# Magnetization (Bohr magnetons per cell): 2.18
# E (eV for the cell shown): -23.63
# Formation energy without anion corrections (eV per atom): 1.38
# Offset from the most stable computed form (meV per atom): 747

***

8.
# Sb2Pb2Cl | Alexandria | PBE | optimized geometry
data_Sb2Pb2Cl
_cell_length_a 4.568
_cell_length_b 4.568
_cell_length_c 8.557
_cell_angle_alpha 74.52
_cell_angle_beta 74.52
_cell_angle_gamma 90.00
_space_group_name_H-M_alt 'P 1'
_space_group_IT_number 1
_space_group_name_Hall 'P 1'
loop_
_atom_site_label
_atom_site_fract_x
_atom_site_fract_y
_atom_site_fract_z
_atom_site_occupancy
Pb1 0.391 0.391 0.219 1
Pb2 0.609 0.609 0.781 1
Sb1 0.750 0.250 0.500 1
Sb2 0.250 0.750 0.500 1
Cl1 0.000 0.000 0.000 1
# Space group: I4/mmm, No. 139
# Magnetization (Bohr magnetons per cell): 0.00
# E (eV for the cell shown): -18.67
# Formation energy without anion corrections (eV per atom): -0.23
# Offset from the most stable computed form (meV per atom): 0